[1]
ThCoNi2As2 after structural relaxation. Source: Alexandria via LeMat-Bulk, functional GGA-PBE.

calculated total energy = -6.126 eV per atom
energy of formation = -0.23 eV per atom

Unit cell a=4.545 b=4.545 c=5.007 alpha=90.00 beta=90.00 gamma=90.00
Positions (direct):
Th 0.000 0.000 0.000
Co 0.000 0.000 0.500
Ni 0.500 0.500 0.243
Ni 0.500 0.500 0.757
As 0.000 0.500 0.500
As 0.500 0.000 0.500

[2]
NaCe2Sb4 after structural relaxation. Source: Alexandria via LeMat-Bulk, functional GGA-PBE.

calculated total energy = -4.948 eV per atom
ΔE_f (raw) = -0.708 eV/atom

Unit cell a=4.303 b=4.303 c=11.788 alpha=90.00 beta=90.00 gamma=90.00
Positions (direct):
Na 0.000 0.000 0.000
Ce 0.000 0.500 0.712
Ce 0.500 0.000 0.288
Sb 0.000 0.000 0.500
Sb 0.000 0.500 0.207
Sb 0.500 0.000 0.793
Sb 0.500 0.500 0.500

[3]
MgRe2Pt after structural relaxation. Source: Alexandria via LeMat-Bulk, functional GGA-PBE.

calculated total energy = -8.058 eV per atom
energy of formation = 0.08 eV per atom

Unit cell a=4.734 b=4.734 c=4.734 alpha=131.56 beta=126.35 gamma=75.16
Positions (direct):
Mg 0.000 0.000 0.000
Re 0.523 0.523 0.000
Re 0.742 0.242 0.500
Pt 0.252 0.752 0.500

[4]
CsLaS after structural relaxation. Source: Alexandria via LeMat-Bulk, functional GGA-PBE.

calculated total energy = -4.289 eV per atom
ΔE_f (raw) = -0.986 eV/atom

Unit cell a=7.631 b=7.631 c=8.576 alpha=94.17 beta=94.17 gamma=32.39
Positions (direct):
Cs 0.127 0.127 0.391
Cs 0.873 0.873 0.609
La 0.358 0.358 0.058
La 0.642 0.642 0.942
S 0.227 0.227 0.790
S 0.773 0.773 0.210

> What is the calculated total energy in the third record?

-8.058 eV per atom